MnZnHg2 after structural relaxation. Source: Alexandria via LeMat-Bulk, functional GGA-PBE.

It has space group Imm2 (No. 44), with a = 2.967 Å, b = 4.708 Å, c = 11.471 Å, α = 90.00°, β = 90.00° and γ = 90.00°. Symmetry generates all atoms from Mn at (0.000, 0.000, 0.000), Zn at (0.000, 0.500, 0.692), Hg at (0.000, 0.000, 0.504) and Hg at (0.000, 0.500, 0.285).

The density of states at the Fermi level comes out at 2.33 states/eV/f.u. Its energy relative to the elements is 0.90 eV per formula unit. The offset from the most stable computed form is 2.0 kJ/mol of atoms.